Entry 1:
Density functional theory data (PBE) for a geometry-optimized Rb2SiI6N structure.

Cell: 8.8717 8.8717 8.0364 Å, 56.50 56.50 90.00°
Closest atoms and distances in Å follow each position.
Fractional coordinates of all 10 atoms:
I  0.2758  0.2758  0.4483  1 N 2.25
I  0.7242  0.7242  0.5517  1 N 2.25
I  0.2227  0.2227  0.0000  1 Si 2.79
I  0.7773  0.7773  0.0000  1 Si 2.79
I  0.7773  0.2227  0.0000  1 Si 2.79
I  0.2227  0.7773  0.0000  1 Si 2.79
Si  0.0000  0.0000  0.0000  6 I 2.77-2.79
Rb  0.7500  0.2500  0.5000  12 I 4.03-4.44
Rb  0.2500  0.7500  0.5000  12 I 4.03-4.44
N  0.5000  0.5000  0.0000  2 I 2.25

Summary:
Final energy, eV/atom: -2.6983



Entry 2:
Density functional theory data (PBE) for a geometry-optimized Pr4S3O structure.

Cell: 5.6738 5.6738 5.6738 Å, 90.00 90.00 90.00°
Closest atoms and distances in Å follow each position.
Fractional coordinates of all 8 atoms:
Pr  0.5000  0.0000  0.0000  4 S 2.84, 2 O 2.84
Pr  0.0000  0.5000  0.0000  4 S 2.84, 2 O 2.84
Pr  0.0000  0.0000  0.5000  4 S 2.84, 2 O 2.84
Pr  0.5000  0.5000  0.5000  6 S 2.84
S  0.0000  0.5000  0.5000  6 Pr 2.84
S  0.5000  0.0000  0.5000  6 Pr 2.84
S  0.5000  0.5000  0.0000  6 Pr 2.84
O  0.0000  0.0000  0.0000  6 Pr 2.84

Summary:
Final energy, eV/atom: -6.5981